Arrangement P

Entry from Alexandria: an optimized crystal structure of KBa4 (GGA-PBE).

Summary:
Size of the total moment: 1.7 Bohr magnetons per cell
Volume: 71.3 Å³/atom

a = 7.0892 Å, b = 7.0892 Å, c = 7.0892 Å
α = 90.00°, β = 90.00°, γ = 90.00°
Fractional positions:
Ba: 0.5000 0.0000 0.5000
Ba: 0.0000 0.0000 0.0000
Ba: 0.5000 0.5000 0.0000
Ba: 0.0000 0.5000 0.5000
K: 0.5000 0.5000 0.5000



Arrangement Q

Entry from Alexandria: an optimized crystal structure of KBa4 (GGA-PBE).

Summary:
Size of the total moment: 0.0 Bohr magnetons per cell
Volume: 65.1 Å³/atom

a = 4.9374 Å, b = 4.3651 Å, c = 18.4838 Å
α = 85.67°, β = 82.32°, γ = 55.56°
Fractional positions:
Ba: 0.2011 0.0000 0.5979
Ba: 0.3959 0.0000 0.2081
Ba: 0.7989 0.0000 0.4021
Ba: 0.6041 0.0000 0.7919
K: 0.0000 0.0000 0.0000



Energy ordering: arrangement Q at the bottom, the next structure 403 meV/atom above.



Arrangement P

Entry from Alexandria: an optimized crystal structure of KBa5 (GGA-PBE).

Summary:
Size of the total moment: 0.0 Bohr magnetons per cell
Volume: 65.7 Å³/atom

a = 7.8282 Å, b = 7.8282 Å, c = 7.4307 Å
α = 90.00°, β = 90.00°, γ = 120.00°
Fractional positions:
Ba: 0.9956 0.0000 0.0000
Ba: 0.0000 0.3333 0.5000
Ba: 0.6667 0.6667 0.5000
Ba: 0.6711 0.3377 0.0000
Ba: 0.3333 0.6623 0.0000
K: 0.3333 0.0000 0.5000



Arrangement Q

Entry from Alexandria: an optimized crystal structure of KBa5 (GGA-PBE).

Summary:
Size of the total moment: 0.0 Bohr magnetons per cell
Volume: 70.5 Å³/atom

a = 8.4257 Å, b = 8.4257 Å, c = 8.4257 Å
α = 60.00°, β = 60.00°, γ = 60.00°
Fractional positions:
Ba: 0.6247 0.6247 0.1260
Ba: 0.2500 0.2500 0.2500
Ba: 0.1260 0.6247 0.6247
Ba: 0.6247 0.6247 0.6247
Ba: 0.6247 0.1260 0.6247
K: 0.0000 0.0000 0.0000



Energy ordering: arrangement P at the bottom, the next structure 72 meV/atom above.



Arrangement P

Entry from Alexandria: an optimized crystal structure of KBa5 (GGA-PBE).

Summary:
Size of the total moment: 0.0 Bohr magnetons per cell
Volume: 65.4 Å³/atom

a = 11.9571 Å, b = 11.9571 Å, c = 7.4330 Å
α = 90.00°, β = 90.00°, γ = 158.32°
Fractional positions:
K: 0.1109 0.8891 0.5000
Ba: 0.7790 0.2210 0.5000
Ba: 0.6677 0.3323 0.0000
Ba: 0.3346 0.6654 0.0000
Ba: 0.9975 0.0025 0.0000
Ba: 0.4436 0.5564 0.5000



Arrangement Q

Entry from Alexandria: an optimized crystal structure of KBa5 (GGA-PBE).

Summary:
Size of the total moment: 0.0 Bohr magnetons per cell
Volume: 65.8 Å³/atom

a = 4.4416 Å, b = 4.4416 Å, c = 20.0158 Å
α = 90.00°, β = 90.00°, γ = 90.00°
Fractional positions:
Ba: 0.0000 0.0000 0.3264
Ba: 0.0000 0.0000 0.0000
Ba: 0.5000 0.5000 0.8376
Ba: 0.5000 0.5000 0.1624
Ba: 0.0000 0.0000 0.6736
K: 0.5000 0.5000 0.5000



Energy ordering: arrangement Q at the bottom, the next structure 10 meV/atom above.



Arrangement P

Entry from Alexandria: an optimized crystal structure of KBa5 (GGA-PBE).

Summary:
Size of the total moment: 0.0 Bohr magnetons per cell
Volume: 65.2 Å³/atom

a = 5.0389 Å, b = 5.0389 Å, c = 15.4131 Å
α = 90.00°, β = 90.00°, γ = 90.00°
Fractional positions:
Ba: 0.5000 0.5000 0.6576
Ba: 0.0000 0.0000 0.8262
Ba: 0.5000 0.5000 0.3424
Ba: 0.0000 0.0000 0.5000
Ba: 0.0000 0.0000 0.1738
K: 0.5000 0.5000 0.0000



Arrangement Q

Entry from Alexandria: an optimized crystal structure of KBa5 (GGA-PBE).

Summary:
Size of the total moment: 0.0 Bohr magnetons per cell
Volume: 65.6 Å³/atom

a = 8.7058 Å, b = 8.7058 Å, c = 10.8588 Å
α = 75.24°, β = 75.24°, γ = 29.72°
Fractional positions:
K: 0.2755 0.2755 0.9473
Ba: 0.9433 0.9433 0.6141
Ba: 0.6084 0.6084 0.2845
Ba: 0.3370 0.3370 0.3323
Ba: 0.0016 0.0016 0.9974
Ba: 0.6675 0.6675 0.6578



Energy ordering: arrangement P at the bottom, the next structure 9 meV/atom above.



Arrangement P

Entry from Alexandria: an optimized crystal structure of K5Ba3 (GGA-PBE).

Summary:
Size of the total moment: 0.0 Bohr magnetons per cell
Volume: 68.3 Å³/atom

a = 4.4168 Å, b = 4.4168 Å, c = 30.1264 Å
α = 90.00°, β = 90.00°, γ = 111.67°
Fractional positions:
Ba: 0.5000 0.5000 0.0000
Ba: 0.0000 0.0000 0.1185
Ba: 0.0000 0.0000 0.8815
K: 0.0000 0.0000 0.6267
K: 0.5000 0.5000 0.2449
K: 0.5000 0.5000 0.7551
K: 0.0000 0.0000 0.3733
K: 0.5000 0.5000 0.5000



Arrangement Q

Entry from Alexandria: an optimized crystal structure of K5Ba3 (GGA-PBE).

Summary:
Size of the total moment: 0.0 Bohr magnetons per cell
Volume: 71.9 Å³/atom

a = 12.7791 Å, b = 12.7791 Å, c = 8.1353 Å
α = 90.00°, β = 90.00°, γ = 120.00°
Fractional positions:
K: 0.6667 0.3333 0.5000
K: 0.2277 0.0000 0.2500
K: 0.7723 0.7723 0.2500
K: 0.0000 0.2277 0.2500
K: 0.2277 0.2277 0.7500
K: 0.0000 0.7723 0.7500
K: 0.7723 0.0000 0.7500
K: 0.3333 0.6667 0.5000
K: 0.6667 0.3333 0.0000
K: 0.3333 0.6667 0.0000
Ba: 0.4076 0.0000 0.7500
Ba: 0.0000 0.4076 0.7500
Ba: 0.5924 0.5924 0.7500
Ba: 0.4076 0.4076 0.2500
Ba: 0.5924 0.0000 0.2500
Ba: 0.0000 0.5924 0.2500



Energy ordering: arrangement P at the bottom, the next structure 157 meV/atom above.



Arrangement P

Entry from Alexandria: an optimized crystal structure of K2BaLi2 (GGA-PBE).

Summary:
Size of the total moment: 0.0 Bohr magnetons per cell
Volume: 50.1 Å³/atom

a = 6.2701 Å, b = 6.2701 Å, c = 7.7574 Å
α = 66.16°, β = 66.16°, γ = 90.00°
Fractional positions:
Ba: 0.0000 0.0000 0.0000
K: 0.3605 0.3605 0.2790
K: 0.6395 0.6395 0.7210
Li: 0.2500 0.7500 0.5000
Li: 0.7500 0.2500 0.5000



Arrangement Q

Entry from Alexandria: an optimized crystal structure of K2BaLi2 (GGA-PBE).

Summary:
Size of the total moment: 0.0 Bohr magnetons per cell
Volume: 49.8 Å³/atom

a = 10.1315 Å, b = 10.1315 Å, c = 4.8559 Å
α = 90.00°, β = 90.00°, γ = 90.00°
Fractional positions:
Li: 0.1182 0.3818 0.0000
Li: 0.3818 0.8818 0.0000
Li: 0.8818 0.6182 0.0000
Li: 0.6182 0.1182 0.0000
K: 0.1679 0.6679 0.5000
K: 0.8321 0.3321 0.5000
K: 0.6679 0.8321 0.5000
K: 0.3321 0.1679 0.5000
Ba: 0.0000 0.0000 0.0000
Ba: 0.5000 0.5000 0.0000



Arrangement R

Entry from Alexandria: an optimized crystal structure of K2BaLi2 (GGA-PBE).

Summary:
Size of the total moment: 1.0 Bohr magnetons per cell
Volume: 47.8 Å³/atom

a = 10.7859 Å, b = 10.7859 Å, c = 4.1070 Å
α = 90.00°, β = 90.00°, γ = 90.00°
Fractional positions:
K: 0.6266 0.1266 0.0000
K: 0.3734 0.8734 0.0000
K: 0.1266 0.3734 0.0000
K: 0.8734 0.6266 0.0000
Li: 0.1778 0.6778 0.5000
Li: 0.8222 0.3222 0.5000
Li: 0.6778 0.8222 0.5000
Li: 0.3222 0.1778 0.5000
Ba: 0.0000 0.0000 0.0000
Ba: 0.5000 0.5000 0.0000



Energy ordering: arrangement Q at the bottom, the next structure 8 meV/atom above.



Arrangement P

Entry from Alexandria: an optimized crystal structure of K2BaLi (GGA-PBE).

Summary:
Size of the total moment: 0.0 Bohr magnetons per cell
Volume: 58.8 Å³/atom

a = 7.7513 Å, b = 7.7513 Å, c = 4.3723 Å
α = 90.00°, β = 90.00°, γ = 116.38°
Fractional positions:
K: 0.0000 0.0000 0.0000
K: 0.5000 0.5000 0.0000
Li: 0.5000 0.0000 0.5000
Ba: 0.0000 0.5000 0.5000



Arrangement Q

Entry from Alexandria: an optimized crystal structure of K2BaLi (GGA-PBE).

Summary:
Size of the total moment: 0.0 Bohr magnetons per cell
Volume: 57.6 Å³/atom

a = 13.8488 Å, b = 13.8488 Å, c = 13.8488 Å
α = 18.37°, β = 18.37°, γ = 18.37°
Fractional positions:
Ba: 0.7500 0.7500 0.7500
K: 0.5114 0.5114 0.5114
K: 0.9886 0.9886 0.9886
Li: 0.2500 0.2500 0.2500



Energy ordering: arrangement Q at the bottom, the next structure 43 meV/atom above.



Arrangement P

Entry from Alexandria: an optimized crystal structure of K2BaLi (GGA-PBE).

Summary:
Size of the total moment: 0.0 Bohr magnetons per cell
Volume: 56.9 Å³/atom

a = 4.4294 Å, b = 4.4251 Å, c = 12.4053 Å
α = 69.30°, β = 90.00°, γ = 90.00°
Fractional positions:
K: 0.5000 0.1933 0.3054
K: 0.0000 0.0079 0.9959
Li: 0.0000 0.4928 0.5050
Ba: 0.5000 0.8059 0.6937



Arrangement Q

Entry from Alexandria: an optimized crystal structure of K2BaLi (GGA-PBE).

Summary:
Size of the total moment: 0.0 Bohr magnetons per cell
Volume: 56.6 Å³/atom

a = 7.0966 Å, b = 4.3788 Å, c = 7.3363 Å
α = 82.96°, β = 90.00°, γ = 90.00°
Fractional positions:
K: 0.0000 0.4443 0.4817
K: 0.0000 0.0557 0.0183
Ba: 0.5000 0.7500 0.7500
Li: 0.5000 0.2500 0.2500



Energy ordering: arrangement P at the bottom, the next structure 87 meV/atom above.



Arrangement P

Entry from Alexandria: an optimized crystal structure of K2BaLi (GGA-PBE).

Summary:
Size of the total moment: 0.0 Bohr magnetons per cell
Volume: 56.5 Å³/atom

a = 5.2240 Å, b = 6.1365 Å, c = 7.0515 Å
α = 90.00°, β = 90.00°, γ = 90.00°
Fractional positions:
K: 0.5000 0.5000 0.0000
K: 0.0000 0.0000 0.0000
Li: 0.5000 0.0000 0.5000
Ba: 0.0000 0.5000 0.5000



Arrangement Q

Entry from Alexandria: an optimized crystal structure of K2BaLi (GGA-PBE).

Summary:
Size of the total moment: 0.0 Bohr magnetons per cell
Volume: 57.6 Å³/atom

a = 4.3814 Å, b = 4.3814 Å, c = 14.1022 Å
α = 81.04°, β = 81.04°, γ = 59.95°
Fractional positions:
Li: 0.6667 0.6667 0.9999
Ba: 0.5000 0.5000 0.5001
K: 0.2610 0.2610 0.2175
K: 0.0724 0.0724 0.7826



Energy ordering: arrangement P at the bottom, the next structure 11 meV/atom above.



Arrangement P

Entry from Alexandria: an optimized crystal structure of K2BaLi (GGA-PBE).

Summary:
Size of the total moment: 0.0 Bohr magnetons per cell
Volume: 56.4 Å³/atom

a = 6.8332 Å, b = 6.8332 Å, c = 6.8332 Å
α = 60.00°, β = 60.00°, γ = 60.00°
Fractional positions:
K: 0.2500 0.2500 0.2500
K: 0.7500 0.7500 0.7500
Ba: 0.5000 0.5000 0.5000
Li: 0.0000 0.0000 0.0000



Arrangement Q

Entry from Alexandria: an optimized crystal structure of K2BaLi (GGA-PBE).

Summary:
Size of the total moment: 0.4 Bohr magnetons per cell
Volume: 56.9 Å³/atom

a = 8.3897 Å, b = 8.3897 Å, c = 4.2925 Å
α = 77.32°, β = 77.32°, γ = 122.26°
Fractional positions:
K: 0.5000 0.5000 0.0000
K: 0.0000 0.0000 0.0000
Ba: 0.0000 0.5000 0.5000
Li: 0.5000 0.0000 0.5000



Energy ordering: arrangement Q at the bottom, the next structure 39 meV/atom above.



Arrangement P

Entry from Alexandria: an optimized crystal structure of KBa2Li2 (GGA-PBE).

Summary:
Size of the total moment: 0.0 Bohr magnetons per cell
Volume: 48.9 Å³/atom

a = 9.8505 Å, b = 9.8505 Å, c = 5.0396 Å
α = 90.00°, β = 90.00°, γ = 90.00°
Fractional positions:
Ba: 0.8328 0.3328 0.5000
Ba: 0.6672 0.8328 0.5000
Ba: 0.1672 0.6672 0.5000
Ba: 0.3328 0.1672 0.5000
Li: 0.8834 0.6166 0.0000
Li: 0.6166 0.1166 0.0000
Li: 0.1166 0.3834 0.0000
Li: 0.3834 0.8834 0.0000
K: 0.5000 0.5000 0.0000
K: 0.0000 0.0000 0.0000



Arrangement Q

Entry from Alexandria: an optimized crystal structure of KBa2Li2 (GGA-PBE).

Summary:
Size of the total moment: 0.0 Bohr magnetons per cell
Volume: 48.5 Å³/atom

a = 10.7851 Å, b = 10.7851 Å, c = 4.1672 Å
α = 90.00°, β = 90.00°, γ = 90.00°
Fractional positions:
Li: 0.6564 0.8436 0.5000
Li: 0.1564 0.6564 0.5000
Li: 0.3436 0.1564 0.5000
Li: 0.8436 0.3436 0.5000
Ba: 0.3644 0.8644 0.0000
Ba: 0.8644 0.6356 0.0000
Ba: 0.6356 0.1356 0.0000
Ba: 0.1356 0.3644 0.0000
K: 0.5000 0.5000 0.0000
K: 0.0000 0.0000 0.0000



Arrangement R

Entry from Alexandria: an optimized crystal structure of KBa2Li2 (GGA-PBE).

Summary:
Size of the total moment: 0.0 Bohr magnetons per cell
Volume: 48.2 Å³/atom

a = 4.2127 Å, b = 4.2127 Å, c = 13.9003 Å
α = 81.28°, β = 81.28°, γ = 90.00°
Fractional positions:
Li: 0.2500 0.7500 0.5000
Li: 0.7500 0.2500 0.5000
Ba: 0.6360 0.6360 0.7280
Ba: 0.3640 0.3640 0.2720
K: 0.0000 0.0000 0.0000



Energy ordering: arrangement P at the bottom, the next structure 44 meV/atom above.



Arrangement P

Entry from Alexandria: an optimized crystal structure of KBaNa2Li (GGA-PBE).

Summary:
Size of the total moment: 0.0 Bohr magnetons per cell
Volume: 47.3 Å³/atom

a = 6.1177 Å, b = 6.1177 Å, c = 6.3206 Å
α = 90.00°, β = 90.00°, γ = 90.00°
Fractional positions:
Li: 0.0000 0.0000 0.0000
Na: 0.0000 0.5000 0.0000
Na: 0.5000 0.0000 0.0000
K: 0.0000 0.0000 0.5000
Ba: 0.5000 0.5000 0.5000



Arrangement Q

Entry from Alexandria: an optimized crystal structure of KBaNa2Li (GGA-PBE).

Summary:
Size of the total moment: 0.0 Bohr magnetons per cell
Volume: 51.2 Å³/atom

a = 6.1947 Å, b = 6.1947 Å, c = 6.6726 Å
α = 90.00°, β = 90.00°, γ = 90.00°
Fractional positions:
Na: 0.0000 0.5000 0.0000
Na: 0.5000 0.0000 0.0000
Ba: 0.0000 0.0000 0.5000
K: 0.5000 0.5000 0.5000
Li: 0.0000 0.0000 0.0000



Energy ordering: arrangement P at the bottom, the next structure 10 meV/atom above.